Density functional theory data (PBE) for ScCrSCl2 after structural relaxation.

Geometry as CIF:
```
data_ScCrSCl2
_chemical_formula_sum 'Sc1 Cr1 S1 Cl2'
_cell_length_a 4.9434
_cell_length_b 4.9434
_cell_length_c 4.9979
_cell_angle_alpha 90.00
_cell_angle_beta 90.00
_cell_angle_gamma 90.00
_symmetry_space_group_name_H-M 'P 4/m m m'
_symmetry_Int_Tables_number 123
_symmetry_space_group_name_Hall '-P 4 2'
loop_
_atom_site_label
_atom_site_fract_x
_atom_site_fract_y
_atom_site_fract_z
Sc1 0.0000 0.0000 0.0000
Cr1 0.5000 0.5000 0.5000
S1 0.0000 0.0000 0.5000
Cl1 0.0000 0.5000 0.0000
```

Output
magnetization: 5.0 μB per cell
crystal system: tetragonal
energy relative to the elements, uncorrected: -847.9 meV per atom

Density functional theory data (PBE) for CrReHg2 after structural relaxation.

Geometry as CIF:
```
data_CrReHg2
_chemical_formula_sum 'Cr1 Re1 Hg2'
_cell_length_a 2.9737
_cell_length_b 2.9737
_cell_length_c 8.1977
_cell_angle_alpha 90.00
_cell_angle_beta 90.00
_cell_angle_gamma 90.00
_symmetry_space_group_name_H-M 'P 4 m m'
_symmetry_Int_Tables_number 99
loop_
_symmetry_equiv_pos_as_xyz
'x,y,z'
'-y,x,z'
'-x,-y,z'
'y,-x,z'
'-x,y,z'
'y,x,z'
'x,-y,z'
'-y,-x,z'
loop_
_atom_site_label
_atom_site_fract_x
_atom_site_fract_y
_atom_site_fract_z
Cr1 0.0000 0.0000 0.0000
Re1 0.5000 0.5000 0.8396
Hg1 0.0000 0.0000 0.5697
Hg2 0.5000 0.5000 0.2567
```

Output
energy of formation from the pure elements: 0.43 eV per atom
magnetization: 1.1 μB per cell
crystal system: tetragonal

Density functional theory data (PBE) for Ba2LaP after structural relaxation.

Geometry as CIF:
```
data_Ba2LaP
_chemical_formula_sum 'Ba6 La3 P3'
_cell_length_a 4.4032
_cell_length_b 4.4032
_cell_length_c 33.3464
_cell_angle_alpha 90.00
_cell_angle_beta 90.00
_cell_angle_gamma 120.00
_symmetry_space_group_name_H-M 'R -3 m'
_symmetry_Int_Tables_number 166
_symmetry_space_group_name_Hall '-R 3 2"'
loop_
_atom_site_label
_atom_site_fract_x
_atom_site_fract_y
_atom_site_fract_z
Ba1 0.0000 0.0000 0.2207
La1 0.0000 0.0000 0.0000
P1 0.0000 0.0000 0.5000
```

Output
energy of formation from the pure elements: -0.33 eV per atom
magnetization: 6.3 μB per cell
crystal system: trigonal

Q: What is the magnetization in the first record?
A: 5.0 μB per cell